CeMn2Se4 (PBE, optimized geometry); total magnetic moment = 8.87 μB per formula unit; space group = Pbcm, No. 57; E_form (uncorrected) = -923 meV/atom
1.0
-1.318 3.697 0.379
-6.685 -3.443 10.316
9.792 2.746 7.262
Mn Se Ce
8 16 4
direct
0.249 0.565 0.881
0.249 0.935 0.881
0.249 0.065 0.619
0.751 0.065 0.119
0.751 0.435 0.119
0.249 0.435 0.619
0.751 0.565 0.381
0.751 0.935 0.381
0.251 0.500 0.250
0.750 0.613 0.023
0.751 0.250 0.196
0.749 0.500 0.750
0.249 0.250 0.696
0.751 0.750 0.304
0.750 0.387 0.477
0.250 0.613 0.523
0.750 0.113 0.477
0.250 0.887 0.523
0.749 0.000 0.750
0.250 0.387 0.977
0.251 0.000 0.250
0.750 0.887 0.023
0.250 0.113 0.977
0.249 0.750 0.804
0.749 0.250 0.868
0.749 0.750 0.632
0.251 0.750 0.132
0.251 0.250 0.368

Tb8TlPb5 (PBE, optimized geometry); E_form = -0.4965 eV per atom; total magnetic moment = 0.00 μB per formula unit; space group = I-4, No. 82
1.0
7.721 0.000 -2.676
-3.842 6.668 -2.748
-0.037 0.000 8.172
Tb Pb Tl
8 5 1
direct
0.984 0.112 0.735
0.623 0.888 0.872
0.626 0.391 0.875
0.125 0.751 0.517
0.265 0.249 0.377
0.128 0.751 0.016
0.483 0.609 0.234
0.766 0.249 0.374
0.375 0.126 0.000
0.751 0.625 0.625
0.500 0.000 0.500
0.000 0.375 0.126
0.874 0.874 0.249
0.250 0.500 0.750

ScOs2Ru2 (PBE, optimized geometry); E_form = 0.0030 eV per atom; total magnetic moment = 0.00 μB per formula unit; excess energy over the best structure of this formula in the dataset = 18 meV/atom; space group = P4/mbm, No. 127
1.0
-2.482 7.012 -1.127
-6.024 -2.711 -3.599
-1.390 -0.105 2.405
Ru Os Sc
4 4 2
direct
0.878 0.622 0.000
0.122 0.378 0.000
0.378 0.878 0.000
0.622 0.122 0.000
0.674 0.826 0.500
0.826 0.326 0.500
0.326 0.174 0.500
0.174 0.674 0.500
0.000 0.000 0.000
0.500 0.500 0.000

Tb2Pr4TmTh (PBE, optimized geometry); E_form = 0.1295 eV per atom; total magnetic moment = 0.00 μB per formula unit; space group = P2/m, No. 10
1.0
6.065 0.000 0.000
0.000 9.544 -0.185
0.000 3.929 4.605
Pr Th Tb Tm
4 1 2 1
direct
0.000 0.254 0.247
0.000 0.746 0.753
0.500 0.745 0.255
0.500 0.255 0.745
0.500 0.500 0.000
0.000 0.000 0.000
0.500 0.000 0.500
0.000 0.500 0.500

RbAg6Se4 (PBE, optimized geometry); total magnetic moment = 0.00 μB per formula unit; excess energy over the best structure of this formula in the dataset = 77 meV/atom; space group = P-6m2, No. 187; E_form (uncorrected) = -164 meV/atom
1.0
4.271 0.000 0.000
0.000 8.174 0.000
0.000 -4.087 7.079
Ag Rb Se
6 1 4
direct
0.000 0.911 0.455
0.500 0.202 0.404
0.000 0.545 0.455
0.000 0.545 0.089
0.500 0.202 0.798
0.500 0.596 0.798
0.000 0.000 0.000
0.500 0.815 0.631
0.500 0.369 0.185
0.000 0.333 0.667
0.500 0.815 0.185

Be3GaBi (PBE, optimized geometry); E_form = 0.8190 eV per atom; total magnetic moment = 0.00 μB per formula unit; excess energy over the best structure of this formula in the dataset = 0 meV/atom; space group = Pm-3m, No. 221
1.0
-1.530 4.019 0.925
-0.260 -1.079 4.256
4.116 1.426 0.613
Be Ga Bi
3 1 1
direct
0.500 0.000 0.000
0.000 0.000 0.500
0.000 0.500 0.000
0.000 0.000 0.000
0.500 0.500 0.500

CsNdPb2 (PBE, optimized geometry); E_form = -0.3354 eV per atom; total magnetic moment = 0.00 μB per formula unit; excess energy over the best structure of this formula in the dataset = 0 meV/atom; space group = P4/mmm, No. 123
1.0
-1.391 1.492 -3.782
-2.425 -3.513 -0.494
-6.515 3.941 3.951
Cs Pb Nd
1 2 1
direct
0.500 0.500 0.500
0.000 0.000 0.179
0.000 0.000 0.821
0.500 0.500 0.000

Na3ReSe (PBE, optimized geometry); total magnetic moment = 4.04 μB per formula unit; excess energy over the best structure of this formula in the dataset = 0 meV/atom; space group = Pm-3m, No. 221; E_form (uncorrected) = 751 meV/atom
1.0
-4.089 -0.734 3.535
-0.966 -4.923 -2.139
3.478 -2.229 3.561
Re Na Se
1 3 1
direct
0.500 0.500 0.500
0.000 0.500 0.000
0.500 0.000 0.000
0.000 0.000 0.500
0.000 0.000 0.000